# TbEr5Rh4

TbEr5Rh4 after structural relaxation (GGA-PBE, Alexandria).

```
TbEr5Rh4
1.0
4.2322 0.0000 0.0000
0.0000 7.1362 -1.1967
-2.1161 -2.2228 8.6323
Tb Er Rh
1 5 4
Cartesian
2.1161 0.0000 0.0000
2.1161 2.7283 5.0685
2.1161 -0.9234 5.6833
0.0000 5.8369 1.7522
2.1161 3.5681 -0.5984
0.0000 2.1851 2.3670
0.0000 4.3803 4.2347
2.1161 3.0402 7.7480
2.1161 0.5331 3.2008
0.0000 1.8732 -0.3125
```

ΔE_f (eV per atom): -0.676

# CaBeHg2Br

CaBeHg2Br after structural relaxation (GGA-PBE, Alexandria).

```
CaBeHg2Br
1.0
6.2333 0.0000 0.0000
0.0000 4.2408 0.0000
0.0000 0.0000 6.2333
Be Ca Hg Br
1 1 2 1
Cartesian
0.0000 2.1204 0.0000
3.1167 2.1204 3.1167
0.0000 0.0000 3.1167
3.1167 0.0000 0.0000
0.0000 0.0000 0.0000
```

ΔE_f (raw) (eV/atom): 0.3572

# TlHg2Au

TlHg2Au after structural relaxation (GGA-PBE, Alexandria).

```
TlHg2Au
1.0
-0.2126 3.4647 -2.7759
-2.3094 3.6484 1.0537
4.5229 4.7767 2.2473
Tl Au Hg
1 1 2
Cartesian
1.1820 6.0180 0.3585
1.5810 8.9569 0.4359
4.3687 4.7137 2.1659
0.3925 2.9228 0.0747
```

Energy above the lowest structure with this stoichiometry (meV/atom): 43
ΔE_f (eV per atom): 0.021

# KCdIr2

KCdIr2 after structural relaxation (GGA-PBE, Alexandria).

```
KCdIr2
1.0
4.0572 0.0000 0.0000
0.0000 4.0572 0.0000
0.0000 0.0000 4.6189
Cd Ir K
1 2 1
Cartesian
0.0000 2.0286 2.3095
0.0000 0.0000 0.0000
2.0286 2.0286 0.0000
2.0286 0.0000 2.3095
```

ΔE_f (eV per atom): 0.916

# SiMoRu2

SiMoRu2 after structural relaxation (GGA-PBE, Alexandria).

```
SiMoRu2
1.0
-2.8111 0.4488 -0.4589
-0.5764 -0.8583 2.6917
0.6548 6.2987 2.1487
Mo Ru Si
1 2 1
Cartesian
-1.2121 4.4283 2.6969
0.0001 0.0007 0.0002
-1.5095 1.5672 1.7209
0.3163 3.0423 1.0378
```

ΔE_f (raw) (eV/atom): -0.2046

# MgSiRh

MgSiRh after structural relaxation (GGA-PBE, Alexandria).

```
MgSiRh
1.0
4.9285 0.0000 0.0000
2.4642 4.3287 -0.2172
2.4642 1.0200 4.2125
Mg Si Rh
2 2 2
Cartesian
6.1606 2.0368 1.5214
3.6964 3.3119 2.4739
0.0000 0.0000 0.0000
2.4642 0.0000 0.0000
3.6964 2.1644 -0.1086
3.6964 0.5100 2.1062
```

ΔE_f (raw) (eV/atom): -0.6326